Entry A
A plane-wave DFT calculation with GGA-PBE was carried out for crystalline CaZrPt at its relaxed geometry.

Lattice parameters (Å, degrees): 6.614 6.614 6.614 149.29 149.29 43.99
Atoms (fractional coordinates):
Ca 0.000 0.000 0.000
Zr 0.727 0.727 0.000
Pt 0.320 0.320 0.000

Properties
As for the symmetry: No. 107. As for the crystal system: tetragonal. Its total magnetization is 0.20 Bohr magnetons per cell.

=====

Entry B
A plane-wave DFT calculation with GGA-PBE was carried out for crystalline CaZrPt at its relaxed geometry.

Lattice parameters (Å, degrees): 4.702 4.702 7.017 90.00 90.00 90.00
Atoms (fractional coordinates):
Ca 0.250 0.250 0.127
Ca 0.750 0.750 0.873
Zr 0.250 0.750 0.500
Zr 0.750 0.250 0.500
Pt 0.250 0.250 0.690
Pt 0.750 0.750 0.310

Properties
As for the symmetry: No. 129. As for the crystal system: tetragonal. Its total magnetization is 0.00 Bohr magnetons per cell.

=====

Stability verdict: entry B, ahead by 196 meV/atom